Computed, not measured: crystalline Ta5Bi at its relaxed geometry at the PBE level of DFT.

Cell: 7.320 7.320 3.556 Å, 90.00 90.00 142.74°
Sites, in units of the cell vectors:
Ta (0.000, 0.000, 0.000)
Ta (0.164, 0.836, 0.500)
Ta (0.324, 0.676, 0.000)
Ta (0.676, 0.324, 0.000)
Ta (0.836, 0.164, 0.500)
Bi (0.500, 0.500, 0.500)

Values from the calculation:
As for the space group: Cmmm (65). The formation energy is 0.176 eV per atom. The magnetization comes out at 0.0 μB/f.u.

Computed, not measured: crystalline BaErGa4 at its relaxed geometry at the PBE level of DFT.

Cell: 5.744 5.744 5.744 Å, 60.00 60.00 60.00°
Sites, in units of the cell vectors:
Ba (0.000, 0.000, 0.000)
Er (0.750, 0.750, 0.750)
Ga (0.376, 0.376, 0.376)
Ga (0.376, 0.376, 0.873)
Ga (0.376, 0.873, 0.376)
Ga (0.873, 0.376, 0.376)

Values from the calculation:
As for the space group: F-43m (216). The formation energy is -0.350 eV per atom. The magnetization comes out at 0.0 μB/f.u.

Computed, not measured: crystalline Li6PtAu12 at its relaxed geometry at the PBE level of DFT.

Cell: 7.425 7.425 7.425 Å, 107.21 107.21 107.21°
Sites, in units of the cell vectors:
Li (0.065, 0.295, 0.401)
Li (0.295, 0.401, 0.065)
Li (0.401, 0.065, 0.295)
Li (0.599, 0.935, 0.705)
Li (0.705, 0.599, 0.935)
Li (0.935, 0.705, 0.599)
Pt (0.500, 0.500, 0.500)
Au (0.003, 0.891, 0.307)
Au (0.109, 0.693, 0.997)
Au (0.229, 0.670, 0.388)
Au (0.307, 0.003, 0.891)
Au (0.330, 0.612, 0.771)
Au (0.388, 0.229, 0.670)
Au (0.612, 0.771, 0.330)
Au (0.670, 0.388, 0.229)
Au (0.693, 0.997, 0.109)
Au (0.771, 0.330, 0.612)
Au (0.891, 0.307, 0.003)
Au (0.997, 0.109, 0.693)

Values from the calculation:
As for the space group: R-3 (148). The formation energy is -0.354 eV per atom. The magnetization comes out at 0.0 μB/f.u.